DFT (GGA-PBEsol) results for a relaxed structure of BaZrAuS2.

Uncorrected energy in eV/f.u.: -30.3
Raw formation energy in eV per atom: -1.27
Space group: P4/mmm, No. 123
Crystal system: tetragonal

Lattice parameters (Å, degrees): 4.968 4.968 5.254 90.00 90.00 90.00
Positions (direct):
S1 0.000 0.500 0.000
Au1 0.000 0.000 0.500
S2 0.500 0.000 0.000
Zr1 0.000 0.000 0.000
Ba1 0.500 0.500 0.500

=====

DFT (GGA-PBEsol) results for a relaxed structure of BaSb3Au.

Uncorrected energy in eV/f.u.: -12.7
Raw formation energy in eV per atom: 1.41
Space group: Pm-3m, No. 221
Crystal system: cubic

Lattice parameters (Å, degrees): 6.040 6.040 6.040 90.00 90.00 90.00
Positions (direct):
Sb1 0.000 0.500 0.000
Sb2 0.000 0.000 0.500
Ba1 0.000 0.000 0.000
Au1 0.500 0.500 0.500
Sb3 0.500 0.000 0.000

=====

DFT (GGA-PBEsol) results for a relaxed structure of Ba2SbAu2.

Uncorrected energy in eV/f.u.: -19.9
Raw formation energy in eV per atom: -0.63
Space group: I4/mmm, No. 139
Crystal system: tetragonal

Lattice parameters (Å, degrees): 4.024 4.024 9.821 101.82 101.82 90.00
Positions (direct):
Ba1 0.392 0.392 0.784
Au1 0.750 0.250 0.500
Sb1 0.000 0.000 0.000
Au2 0.250 0.750 0.500
Ba2 0.608 0.608 0.216

=====

DFT (GGA-PBEsol) results for a relaxed structure of BaSb2Au2.

Uncorrected energy in eV/f.u.: -22.2
Raw formation energy in eV per atom: -0.63
Space group: P2_1/m, No. 11
Crystal system: monoclinic

Lattice parameters (Å, degrees): 4.817 4.931 10.905 91.17 90.00 90.00
Positions (direct):
Au1 0.250 0.750 0.630
Au2 0.750 0.689 0.000
Ba1 0.250 0.739 0.245
Au3 0.250 0.311 0.000
Sb1 0.750 0.194 0.122
Sb2 0.750 0.752 0.499
Sb3 0.250 0.806 0.878
Ba2 0.750 0.261 0.755
Sb4 0.250 0.248 0.501
Au4 0.750 0.250 0.370

=====

DFT (GGA-PBEsol) results for a relaxed structure of BaSb2TeAu.

Uncorrected energy in eV/f.u.: -20.1
Raw formation energy in eV per atom: -0.27
Space group: P4/mmm, No. 123
Crystal system: tetragonal

Lattice parameters (Å, degrees): 5.355 5.355 5.635 90.00 90.00 90.00
Positions (direct):
Sb1 0.500 0.000 0.000
Au1 0.000 0.000 0.000
Sb2 0.000 0.500 0.000
Ba1 0.500 0.500 0.500
Te1 0.000 0.000 0.500

=====

DFT (GGA-PBEsol) results for a relaxed structure of BaScAu2.

Uncorrected energy in eV/f.u.: -18.3
Formation energy in eV per atom: -0.4184
ΔE to the lowest computed polymorph in meV/atom: 0
Space group: Immm, No. 71
Crystal system: orthorhombic

Lattice parameters (Å, degrees): 4.763 5.286 5.286 65.32 63.22 63.22
Positions (direct):
Au1 0.297 0.703 0.703
Sc1 0.000 0.500 0.500
Ba1 0.500 0.000 0.000
Au2 0.703 0.297 0.297

=====

DFT (GGA-PBEsol) results for a relaxed structure of BaScAu2.

Uncorrected energy in eV/f.u.: -18.1
Formation energy in eV per atom: -0.3776
ΔE to the lowest computed polymorph in meV/atom: 41
Space group: Fm-3m, No. 225
Crystal system: cubic

Lattice parameters (Å, degrees): 5.185 5.185 5.185 60.00 60.00 60.00
Positions (direct):
Sc1 0.500 0.500 0.500
Au1 0.750 0.750 0.750
Au2 0.250 0.250 0.250
Ba1 0.000 0.000 0.000

=====

DFT (GGA-PBEsol) results for a relaxed structure of Ba2ScAu.

Uncorrected energy in eV/f.u.: -14.5
Formation energy in eV per atom: 0.0834
ΔE to the lowest computed polymorph in meV/atom: 0
Space group: F-43m, No. 216
Crystal system: cubic

Lattice parameters (Å, degrees): 5.475 5.475 5.475 60.00 60.00 60.00
Positions (direct):
Sc1 0.250 0.250 0.250
Ba1 0.000 0.000 0.000
Ba2 0.750 0.750 0.750
Au1 0.500 0.500 0.500

=====

DFT (GGA-PBEsol) results for a relaxed structure of Ba2Sc2Au.

Uncorrected energy in eV/f.u.: -17.9
Formation energy in eV per atom: 0.7068
Space group: I4/mmm, No. 139
Crystal system: tetragonal

Lattice parameters (Å, degrees): 4.229 4.229 9.127 103.39 103.39 90.00
Positions (direct):
Ba1 0.250 0.750 0.500
Sc1 0.425 0.425 0.850
Sc2 0.575 0.575 0.150
Ba2 0.750 0.250 0.500
Au1 0.000 0.000 0.000

=====

DFT (GGA-PBEsol) results for a relaxed structure of BaSc2Au.

Uncorrected energy in eV/f.u.: -19.0
Formation energy in eV per atom: 0.0810
ΔE to the lowest computed polymorph in meV/atom: 21
Space group: P4/mmm, No. 123
Crystal system: tetragonal

Lattice parameters (Å, degrees): 3.732 5.015 5.015 90.00 90.00 90.00
Positions (direct):
Au1 0.500 0.500 0.500
Sc1 0.000 0.000 0.500
Sc2 0.000 0.500 0.000
Ba1 0.500 0.000 0.000

=====

DFT (GGA-PBEsol) results for a relaxed structure of BaScAu2.

Uncorrected energy in eV/f.u.: -18.2
Formation energy in eV per atom: -0.3972
ΔE to the lowest computed polymorph in meV/atom: 21
Space group: P4mm, No. 99
Crystal system: tetragonal

Lattice parameters (Å, degrees): 3.664 3.664 7.676 90.00 90.00 90.00
Positions (direct):
Au1 0.500 0.500 0.200
Ba1 0.000 0.000 0.457
Au2 0.000 0.000 0.991
Sc1 0.500 0.500 0.852

=====

DFT (GGA-PBEsol) results for a relaxed structure of BaSc2Au.

Uncorrected energy in eV/f.u.: -19.0
Formation energy in eV per atom: 0.0599
ΔE to the lowest computed polymorph in meV/atom: 0
Space group: P4/mmm, No. 123
Crystal system: tetragonal

Lattice parameters (Å, degrees): 4.524 4.524 5.020 90.00 90.00 90.00
Last column: magnetic moment on the atom in μB.
Positions (direct):
Au1 0.500 0.500 0.500  0.01
Sc1 0.500 0.000 0.000  0.24
Sc2 0.000 0.500 0.000  0.24
Ba1 0.000 0.000 0.500  0.02